No. 1
{"formula": "TaTl2Cr", "functional": "PBE-GGA", "state": "optimized geometry", "lattice_angstrom": [[-2.775, 4.663, 1.077], [-3.348, -0.175, 4.400], [5.273, -1.325, -1.019]], "species": ["Tl", "Tl", "Ta", "Cr"], "fractional_positions": [[0.250, 0.750, 0.500], [0.000, 0.000, 0.000], [0.750, 0.250, 0.500], [0.500, 0.500, 0.000]], "polymorph_energy_ev_per_atom": 0.237, "spacegroup": "I-4m2", "delta_e_f_ev_per_atom": 0.728}

No. 2
{"formula": "LaScB3", "functional": "PBE-GGA", "state": "optimized geometry", "lattice_angstrom": [[4.436, 0.000, 0.000], [0.000, 4.436, 0.000], [0.000, 0.000, 4.436]], "species": ["B", "B", "B", "Sc", "La"], "fractional_positions": [[0.000, 0.500, 0.000], [0.500, 0.000, 0.000], [0.000, 0.000, 0.500], [0.000, 0.000, 0.000], [0.500, 0.500, 0.500]], "polymorph_energy_ev_per_atom": 0.000, "spacegroup": "Pm-3m", "delta_e_f_ev_per_atom": 0.861}

No. 3
{"formula": "Th3Mg2Sn3", "functional": "PBE-GGA", "state": "optimized geometry", "lattice_angstrom": [[4.554, 0.000, 0.000], [-2.277, 6.089, 0.000], [0.000, 0.000, 15.886]], "species": ["Sn", "Mg", "Sn", "Th", "Th", "Sn", "Mg", "Sn", "Mg", "Sn", "Sn", "Th", "Th", "Th", "Mg", "Th"], "fractional_positions": [[0.359, 0.719, 0.250], [0.223, 0.446, 0.101], [0.641, 0.281, 0.750], [0.639, 0.278, 0.250], [0.063, 0.127, 0.886], [0.614, 0.228, 0.459], [0.777, 0.554, 0.899], [0.614, 0.228, 0.041], [0.223, 0.446, 0.399], [0.386, 0.772, 0.541], [0.386, 0.772, 0.959], [0.063, 0.127, 0.614], [0.937, 0.873, 0.386], [0.361, 0.722, 0.750], [0.777, 0.554, 0.601], [0.937, 0.873, 0.114]], "spacegroup": "Cmcm", "delta_e_f_ev_per_atom": -0.442}

No. 4
{"formula": "PrScO3", "functional": "PBE-GGA", "state": "optimized geometry", "lattice_angstrom": [[5.645, 0.000, 0.000], [0.000, 5.852, 0.000], [0.000, 0.000, 8.112]], "species": ["Pr", "O", "Pr", "Sc", "O", "O", "O", "Pr", "Sc", "Pr", "O", "Sc", "Sc", "O", "O", "O", "O", "O", "O", "O"], "fractional_positions": [[0.485, 0.446, 0.250], [0.607, 0.039, 0.250], [0.015, 0.946, 0.250], [0.500, 0.000, 0.000], [0.893, 0.539, 0.250], [0.299, 0.701, 0.443], [0.201, 0.201, 0.443], [0.985, 0.054, 0.750], [0.500, 0.000, 0.500], [0.515, 0.554, 0.750], [0.393, 0.961, 0.750], [0.000, 0.500, 0.000], [0.000, 0.500, 0.500], [0.107, 0.461, 0.750], [0.299, 0.701, 0.057], [0.201, 0.201, 0.057], [0.799, 0.799, 0.557], [0.701, 0.299, 0.557], [0.799, 0.799, 0.943], [0.701, 0.299, 0.943]], "formation_energy_uncorrected_mev_per_atom": -3463, "spacegroup": "Pnma"}

No. 5
{"formula": "Tb4InCu", "functional": "PBE-GGA", "state": "optimized geometry", "lattice_angstrom": [[4.901, 0.000, -2.170], [0.000, 7.058, 0.000], [-0.176, 0.000, 9.464]], "species": ["Tb", "Tb", "Tb", "Tb", "In", "Cu", "Tb", "Cu", "Tb", "In", "Tb", "Tb"], "fractional_positions": [[0.922, 0.483, 0.243], [0.078, 0.517, 0.757], [0.399, 0.750, 0.548], [0.078, 0.983, 0.757], [0.313, 0.250, 0.083], [0.809, 0.750, 0.447], [0.601, 0.250, 0.452], [0.191, 0.250, 0.553], [0.922, 0.017, 0.243], [0.687, 0.750, 0.917], [0.661, 0.250, 0.873], [0.339, 0.750, 0.127]], "polymorph_energy_ev_per_atom": 0.000, "spacegroup": "P2_1/m", "delta_e_f_ev_per_atom": -0.215}

No. 6
{"formula": "PmMgCu17", "functional": "PBE-GGA", "state": "optimized geometry", "lattice_angstrom": [[6.390, 0.023, 0.780], [0.694, 6.353, 0.780], [0.026, 0.023, 6.438]], "species": ["Cu", "Cu", "Cu", "Cu", "Cu", "Cu", "Cu", "Cu", "Cu", "Pm", "Cu", "Cu", "Mg", "Cu", "Cu", "Cu", "Cu", "Cu", "Cu"], "fractional_positions": [[0.296, 0.700, 0.003], [0.102, 0.102, 0.102], [0.997, 0.997, 0.501], [0.160, 0.650, 0.650], [0.997, 0.501, 0.997], [0.650, 0.650, 0.160], [0.296, 0.003, 0.700], [0.003, 0.700, 0.296], [0.343, 0.343, 0.854], [0.659, 0.659, 0.659], [0.700, 0.296, 0.003], [0.003, 0.296, 0.700], [0.341, 0.341, 0.341], [0.700, 0.003, 0.296], [0.343, 0.854, 0.343], [0.650, 0.160, 0.650], [0.501, 0.997, 0.997], [0.906, 0.906, 0.906], [0.854, 0.343, 0.343]], "spacegroup": "R3m", "delta_e_f_ev_per_atom": -0.047}

No. 7
{"formula": "ZnCr5", "functional": "PBE-GGA", "state": "optimized geometry", "lattice_angstrom": [[-1.601, 2.349, 0.721], [-1.032, 0.512, -3.960], [-4.383, -3.845, 2.793]], "species": ["Cr", "Zn", "Cr", "Cr", "Cr", "Cr"], "fractional_positions": [[0.500, 0.500, 0.000], [0.000, 0.000, 0.000], [0.000, 0.665, 0.329], [0.500, 0.827, 0.654], [0.000, 0.335, 0.671], [0.500, 0.173, 0.346]], "polymorph_energy_ev_per_atom": 0.000, "spacegroup": "Cmmm", "delta_e_f_ev_per_atom": 0.142}

No. 8
{"formula": "TiIn2Fe", "functional": "PBE-GGA", "state": "optimized geometry", "lattice_angstrom": [[-1.069, -3.964, -2.049], [0.999, -3.983, 2.047], [-3.368, -2.621, 1.688]], "species": ["In", "Fe", "Ti", "In"], "fractional_positions": [[0.250, 0.250, 0.250], [0.500, 0.500, 0.500], [0.000, 0.000, 0.000], [0.750, 0.750, 0.750]], "spacegroup": "Fm-3m", "delta_e_f_ev_per_atom": 0.223}

Number 1: magnetization 3.05 μB per cell. Number 2: magnetization 0.83 μB per cell. Number 3: magnetization 0.00 μB per cell. Number 4: magnetization 0.00 μB per cell. Number 5: magnetization 0.00 μB per cell. Number 6: magnetization 0.00 μB per cell. Number 7: magnetization 2.23 μB per cell. Number 8: magnetization 0.00 μB per cell.